No. 1
Entry from the Alexandria database: a PBEsol-optimized structure of CdTc3Te (SCAN).

Unit cell a=4.7702 b=4.7702 c=4.7702 alpha=90.00 beta=90.00 gamma=90.00
With the nearest neighbours (Å) after each atom.
Sites, in units of the cell vectors:
Tc: 0.0000 0.5000 0.0000  2 Te 2.39
Tc: 0.0000 0.0000 0.5000  2 Te 2.39
Tc: 0.5000 0.0000 0.0000  2 Te 2.39
Cd: 0.5000 0.5000 0.5000  12 Tc 3.37
Te: 0.0000 0.0000 0.0000  6 Tc 2.39

Values from the calculation:
* space group: Pm-3m
* ΔE_f (raw): 7.98 eV per formula unit
* DOS at the Fermi energy: 3.00 states/eV per cell
* size of the total moment: 2.554 μB/f.u.

No. 2
Entry from the Alexandria database: a PBEsol-optimized structure of CdTcTe2 (SCAN).

Unit cell a=3.6573 b=3.6573 c=8.4533 alpha=77.51 beta=77.51 gamma=60.00
With the nearest neighbours (Å) after each atom.
Sites, in units of the cell vectors:
Te: 0.2656 0.2656 0.2033  3 Tc 2.69
Te: 0.7344 0.7344 0.7967  3 Tc 2.69
Tc: 0.0000 0.0000 0.0000  6 Te 2.69
Cd: 0.5000 0.5000 0.5000  6 Te 3.22

Values from the calculation:
* space group: R-3m
* ΔE_f (raw): 0.31 eV per formula unit
* DOS at the Fermi energy: 1.85 states/eV per cell
* size of the total moment: 1.240 μB/f.u.

Calculated V, 108.5, 94.8 Å³/cell (same order as the records).
Calculated DFT total energy, -32.97, -34.92 eV per atom (same order as the records).
Calculated mass density, 8.170, 8.154 Mg/m³ (same order as the records).